[1]
{"formula": "SrLa2PdN", "functional": "PBE", "state": "optimized geometry", "cell": [[-1.520, 4.757, -0.286], [-4.486, -1.327, 1.770], [1.682, 0.831, 4.887]], "species": ["Sr", "La", "La", "Pd", "N"], "frac_coords": [[0.000, 0.000, 0.500], [0.500, 0.000, 0.000], [0.000, 0.500, 0.000], [0.500, 0.500, 0.500], [0.000, 0.000, 0.000]], "final_energy_ev_per_cell": -28.2, "sg": "No. 123", "rho_g_cm3": 6.2}



[2]
{"formula": "Sr2CdAg4Sn3", "functional": "PBE", "state": "optimized geometry", "cell": [[4.664, 0.000, 0.000], [0.000, 4.664, 0.000], [0.000, 0.000, 11.893]], "species": ["Sn", "Sn", "Sn", "Ag", "Ag", "Ag", "Ag", "Sr", "Sr", "Cd"], "frac_coords": [[0.000, 0.500, 0.133], [0.500, 0.000, 0.867], [0.000, 0.000, 0.500], [0.000, 0.000, 0.000], [0.000, 0.500, 0.362], [0.500, 0.500, 0.000], [0.500, 0.000, 0.638], [0.500, 0.000, 0.243], [0.000, 0.500, 0.757], [0.500, 0.500, 0.500]], "final_energy_ev_per_cell": -31.0, "sg": "No. 115", "rho_g_cm3": 6.9}



[3]
{"formula": "TlCdF3", "functional": "PBE", "state": "optimized geometry", "cell": [[0.144, 1.486, 4.079], [-2.723, -3.219, -1.044], [6.872, -6.504, 2.127]], "species": ["Cd", "Cd", "F", "F", "F", "F", "F", "F", "Tl", "Tl"], "frac_coords": [[0.000, 0.000, 0.500], [0.000, 0.000, 0.000], [0.333, 0.667, 0.450], [0.000, 0.000, 0.750], [0.000, 0.000, 0.250], [0.667, 0.333, 0.550], [0.333, 0.667, 0.050], [0.667, 0.333, 0.950], [0.333, 0.667, 0.750], [0.667, 0.333, 0.250]], "final_energy_ev_per_cell": -36.0, "sg": "No. 194", "rho_g_cm3": 7.8}